# PmEr2SnRh4 PBE optimized geometry
data_PmEr2SnRh4
_chemical_formula_sum 'Pm3 Er6 Sn3 Rh12'
_cell_length_a 4.7820
_cell_length_b 4.7820
_cell_length_c 23.5507
_cell_angle_alpha 90.00
_cell_angle_beta 90.00
_cell_angle_gamma 120.00
_space_group_name_H-M_alt 'R -3 m'
_space_group_IT_number 166
_space_group_name_Hall '-R 3 2"'
loop_
_atom_site_label
_atom_site_type_symbol
_atom_site_fract_x
_atom_site_fract_y
_atom_site_fract_z
Pm1 Pm 0.0000 0.0000 0.0000
Er1 Er 0.0000 0.0000 0.2444
Sn1 Sn 0.0000 0.0000 0.5000
Rh1 Rh 0.0000 0.0000 0.1256
Rh2 Rh 0.0000 0.0000 0.3800
# - Energy of formation from the pure elements: -0.784 eV per atom
# - DOS(E_F): 0.796 states/eV per atom



# PmErSnRh PBE optimized geometry
data_PmErSnRh
_chemical_formula_sum 'Pm4 Er4 Sn4 Rh4'
_cell_length_a 7.280
_cell_length_b 7.280
_cell_length_c 7.280
_cell_angle_alpha 90.00
_cell_angle_beta 90.00
_cell_angle_gamma 90.00
_space_group_name_H-M_alt 'F -4 3 m'
_space_group_IT_number 216
_space_group_name_Hall 'F -4 2 3'
loop_
_atom_site_label
_atom_site_type_symbol
_atom_site_fract_x
_atom_site_fract_y
_atom_site_fract_z
Pm1 Pm 0.000 0.000 0.000
Er1 Er 0.000 0.000 0.500
Sn1 Sn 0.250 0.250 0.750
Rh1 Rh 0.250 0.250 0.250
# - Energy of formation from the pure elements: -0.617 eV per atom
# - DOS(E_F): 0.637 states/eV per atom



Among the records above, which one has the lowest DOS(E_F)? PmErSnRh